Record 1
# PBE-GGA Nb2MoRhN, relaxed
data_Nb2MoRhN
_symmetry_space_group_name_H-M 'P 4/m m m'
_symmetry_Int_Tables_number 123
_symmetry_space_group_name_Hall '-P 4 2'
_cell_length_a 4.251
_cell_length_b 4.251
_cell_length_c 4.070
_cell_angle_alpha 90.00
_cell_angle_beta 90.00
_cell_angle_gamma 90.00
loop_
_atom_site_label
_atom_site_type_symbol
_atom_site_fract_x
_atom_site_fract_y
_atom_site_fract_z
Nb1 Nb 0.000 0.500 0.000
Mo1 Mo 0.000 0.000 0.500
Rh1 Rh 0.500 0.500 0.500
N1 N 0.000 0.000 0.000
# **Crystal system**: tetragonal
# **Raw total energy**: -9.78 eV/atom
# **Energy relative to the elements, uncorrected**: -0.453 eV/atom

=====

Record 2
# PBE-GGA NbMoSN2, relaxed
data_NbMoSN2
_symmetry_space_group_name_H-M 'P 4/m m m'
_symmetry_Int_Tables_number 123
_symmetry_space_group_name_Hall '-P 4 2'
_cell_length_a 3.999
_cell_length_b 3.999
_cell_length_c 5.076
_cell_angle_alpha 90.00
_cell_angle_beta 90.00
_cell_angle_gamma 90.00
loop_
_atom_site_label
_atom_site_type_symbol
_atom_site_fract_x
_atom_site_fract_y
_atom_site_fract_z
Nb1 Nb 0.000 0.000 0.000
Mo1 Mo 0.500 0.500 0.500
S1 S 0.000 0.000 0.500
N1 N 0.000 0.500 0.000
# **Crystal system**: tetragonal
# **Raw total energy**: -7.70 eV/atom
# **Polymorph energy (0 for the lowest one)**: 0.67 eV/f.u.
# **Energy relative to the elements, uncorrected**: 0.632 eV/atom

=====

Record 3
# PBE-GGA NbMoSN2, relaxed
data_NbMoSN2
_symmetry_space_group_name_H-M 'P 4/m m m'
_symmetry_Int_Tables_number 123
_symmetry_space_group_name_Hall '-P 4 2'
_cell_length_a 3.893
_cell_length_b 3.893
_cell_length_c 4.847
_cell_angle_alpha 90.00
_cell_angle_beta 90.00
_cell_angle_gamma 90.00
loop_
_atom_site_label
_atom_site_type_symbol
_atom_site_fract_x
_atom_site_fract_y
_atom_site_fract_z
Nb1 Nb 0.000 0.000 0.000
Mo1 Mo 0.500 0.500 0.500
S1 S 0.500 0.500 0.000
N1 N 0.000 0.500 0.500
# **Crystal system**: tetragonal
# **Raw total energy**: -7.84 eV/atom
# **Polymorph energy (0 for the lowest one)**: 0.00 eV/f.u.
# **Energy relative to the elements, uncorrected**: 0.498 eV/atom